1.
Entry from Alexandria via LeMat-Bulk: PmZrMn2O6 after structural relaxation (GGA+U).

Cell: 5.4637 5.4482 5.8014 Å, 61.78 61.98 60.03°
With the nearest neighbours (Å) after each atom.
Fractional positions:
O: 0.7359 0.1520 0.7592  1 Mn 2.00, 1 Zr 2.19
O: 0.6287 0.2261 0.2247  2 Mn 2.05-2.13, 1 Zr 2.10
O: 0.2243 0.9210 0.2254  2 Mn 2.05-2.13, 1 Zr 2.10
O: 0.1544 0.3526 0.7583  1 Mn 2.01, 1 Zr 2.18
O: 0.3528 0.7361 0.7567  1 Mn 2.01, 1 Zr 2.17
O: 0.9207 0.6286 0.2268  2 Mn 2.04-2.14, 1 Zr 2.10
Mn: 0.5255 0.5263 0.4216  6 O 2.13-2.30
Mn: 0.0103 0.0090 0.9703  6 O 2.00-2.05
Pm: 0.7956 0.7951 0.6121  6 O 2.30-2.49
Zr: 0.3133 0.3148 0.0601  6 O 2.10-2.19

Summary:
DFT total energy in eV per atom: -8.24

***

2.
Entry from Alexandria via LeMat-Bulk: PrMnO3 after structural relaxation (GGA+U).

Cell: 5.5167 5.9223 7.7161 Å, 90.00 90.00 90.00°
With the nearest neighbours (Å) after each atom.
Fractional positions:
Mn: 0.5000 0.0000 0.0000  4 O 1.95-2.00
Mn: 0.0000 0.5000 0.0000  4 O 1.95-2.00
Mn: 0.5000 0.0000 0.5000  4 O 1.95-2.00
Mn: 0.0000 0.5000 0.5000  4 O 1.95-2.00
O: 0.7857 0.8151 0.0465  1 Mn 1.95
O: 0.4075 0.9755 0.2500  2 Mn 2.00
O: 0.7143 0.3151 0.4535  1 Mn 1.95
O: 0.7143 0.3151 0.0465  1 Mn 1.95
O: 0.2143 0.1849 0.5465  1 Mn 1.95
O: 0.7857 0.8151 0.4535  1 Mn 1.95
O: 0.2857 0.6849 0.5465  1 Mn 1.95
O: 0.5925 0.0245 0.7500  2 Mn 2.00
O: 0.2857 0.6849 0.9535  1 Mn 1.95
O: 0.2143 0.1849 0.9535  1 Mn 1.95
O: 0.0925 0.4755 0.2500  2 Mn 2.00
O: 0.9075 0.5245 0.7500  2 Mn 2.00
Pr: 0.0147 0.9303 0.7500  6 O 2.40-2.61
Pr: 0.5147 0.5697 0.2500  6 O 2.40-2.61
Pr: 0.4853 0.4303 0.7500  6 O 2.40-2.61
Pr: 0.9853 0.0697 0.2500  6 O 2.40-2.61

Summary:
DFT total energy in eV per atom: -7.95

***

3.
Entry from Alexandria via LeMat-Bulk: PrMnO3 after structural relaxation (GGA+U).

Cell: 5.4331 6.1114 7.9480 Å, 98.18 90.00 90.00°
With the nearest neighbours (Å) after each atom.
Fractional positions:
O: 0.9754 0.0448 0.6728  1 Mn 1.93
O: 0.4299 0.1996 0.5513  2 Mn 1.96-2.01
O: 0.9299 0.8004 0.9487  2 Mn 1.96-2.01
O: 0.4754 0.9552 0.8272  1 Mn 1.93
O: 0.8091 0.3957 0.3882  1 Mn 1.99
O: 0.1909 0.6043 0.6118  1 Mn 1.99
O: 0.5246 0.0448 0.1728  1 Mn 1.93
O: 0.0701 0.1996 0.0513  2 Mn 1.96-2.01
O: 0.3091 0.6043 0.1118  1 Mn 1.99
O: 0.5701 0.8004 0.4487  2 Mn 1.96-2.01
O: 0.0246 0.9552 0.3272  1 Mn 1.93
O: 0.6909 0.3957 0.8882  1 Mn 1.99
Pr: 0.7339 0.6532 0.1693  6 O 2.34-2.61
Pr: 0.7661 0.6532 0.6693  6 O 2.34-2.61
Pr: 0.2339 0.3468 0.3307  6 O 2.34-2.61
Pr: 0.2661 0.3468 0.8307  6 O 2.34-2.61
Mn: 0.2653 0.9076 0.5633  4 O 1.93-2.01
Mn: 0.7347 0.0924 0.4367  4 O 1.93-2.01
Mn: 0.2347 0.9076 0.0633  4 O 1.93-2.01
Mn: 0.7653 0.0924 0.9367  4 O 1.93-2.01

Summary:
DFT total energy in eV per atom: -7.84

***

4.
Entry from Alexandria via LeMat-Bulk: PrMn2O4 after structural relaxation (GGA+U).

Cell: 3.3315 10.1753 10.4701 Å, 90.00 90.00 90.00°
With the nearest neighbours (Å) after each atom.
Fractional positions:
O: 0.8254 0.8854 0.0221  2 Mn 2.03-2.11
O: 0.6426 0.4947 0.7479  2 Mn 2.05-2.21
O: 0.8254 0.3854 0.4779  2 Mn 2.03-2.11
O: 0.8017 0.7577 0.3073  2 Mn 1.96-2.09
O: 0.2150 0.6079 0.5414  2 Mn 1.94-2.17
O: 0.7850 0.1079 0.4586  2 Mn 1.94-2.17
O: 0.3575 0.4947 0.2479  2 Mn 2.05-2.21
O: 0.8018 0.2577 0.1927  2 Mn 1.96-2.09
O: 0.1982 0.7577 0.8073  2 Mn 1.96-2.09
O: 0.2149 0.1079 0.9585  2 Mn 1.94-2.17
O: 0.3574 0.9947 0.2521  2 Mn 2.05-2.21
O: 0.7851 0.6079 0.0415  2 Mn 1.94-2.17
O: 0.6425 0.9947 0.7521  2 Mn 2.05-2.21
O: 0.1983 0.2577 0.6927  2 Mn 1.96-2.09
O: 0.1746 0.8854 0.5221  2 Mn 2.03-2.11
O: 0.1746 0.3854 0.9779  2 Mn 2.03-2.11
Mn: 0.2173 0.4344 0.6185  4 O 1.94-2.05
Mn: 0.8208 0.5671 0.3810  4 O 2.09-2.21
Mn: 0.7827 0.9344 0.3815  4 O 1.94-2.05
Mn: 0.1789 0.5670 0.8810  4 O 2.09-2.21
Mn: 0.8211 0.0670 0.1190  4 O 2.09-2.21
Mn: 0.7828 0.4344 0.1185  4 O 1.94-2.05
Mn: 0.2172 0.9344 0.8815  4 O 1.94-2.05
Mn: 0.1792 0.0671 0.6190  4 O 2.09-2.21
Pr: 0.6892 0.7528 0.6413  6 O 2.39-2.52
Pr: 0.3108 0.7528 0.1413  6 O 2.39-2.52
Pr: 0.3108 0.2528 0.3587  6 O 2.39-2.52
Pr: 0.6892 0.2528 0.8587  6 O 2.39-2.52

Summary:
Relative energy among the computed polymorphs in eV per formula unit: 0.00
DFT total energy in eV per atom: -7.86

***

5.
Entry from Alexandria via LeMat-Bulk: PrMn2O4 after structural relaxation (GGA+U).

Cell: 6.2032 6.2032 6.2032 Å, 109.24 109.93 109.24°
With the nearest neighbours (Å) after each atom.
Fractional positions:
Pr: 0.0000 0.0000 0.0000  4 O 2.35
Pr: 0.7500 0.5000 0.2500  4 O 2.35
O: 0.6541 0.1878 0.8417  3 Mn 2.04-2.26
O: 0.2163 0.3122 0.9039  3 Mn 2.04-2.26
O: 0.5917 0.6878 0.9041  3 Mn 2.04-2.26
O: 0.0961 0.3124 0.4083  3 Mn 2.04-2.26
O: 0.1583 0.8124 0.3461  3 Mn 2.04-2.26
O: 0.5337 0.1876 0.3459  3 Mn 2.04-2.26
O: 0.6539 0.8122 0.4663  3 Mn 2.04-2.26
O: 0.0959 0.6876 0.7837  3 Mn 2.04-2.26
Mn: 0.3750 0.7500 0.1250  6 O 2.04-2.26
Mn: 0.8750 0.2500 0.6250  6 O 2.04-2.26
Mn: 0.3750 0.2500 0.6250  6 O 2.04-2.26
Mn: 0.3750 0.7500 0.6250  6 O 2.04-2.26

Summary:
Relative energy among the computed polymorphs in eV per formula unit: 0.49
DFT total energy in eV per atom: -7.79

***

6.
Entry from Alexandria via LeMat-Bulk: PrMn2O6 after structural relaxation (GGA+U).

Cell: 5.1674 5.0345 5.0345 Å, 120.00 90.00 90.00°
With the nearest neighbours (Å) after each atom.
Fractional positions:
O: 0.7073 0.6266 0.6266  2 Mn 1.91
O: 0.7073 0.0000 0.3734  2 Mn 1.91
O: 0.7073 0.3734 0.0000  2 Mn 1.91
O: 0.2927 0.6266 0.0000  2 Mn 1.91
O: 0.2927 0.0000 0.6266  2 Mn 1.91
O: 0.2927 0.3734 0.3734  2 Mn 1.91
Mn: 0.5000 0.6667 0.3333  6 O 1.91
Mn: 0.5000 0.3333 0.6667  6 O 1.91
Pr: 0.0000 0.0000 0.0000  6 O 2.41

Summary:
Relative energy among the computed polymorphs in eV per formula unit: 0.00
DFT total energy in eV per atom: -7.31